Here is a relaxed structure of Y2ErCd2In2 from Alexandria via LeMat-Bulk. Energies are from PBE-GGA.

Geometry as POSCAR:
```
Y2ErCd2In2
1.0
-2.9819 1.3817 -3.6709
-4.8364 -0.8969 0.2845
-3.8404 8.0814 2.8548
In Y Cd Er
2 2 2 1
Cartesian
-2.8795 1.9158 -0.2464 In
-8.7792 6.6504 -0.2851 In
-3.3681 5.0512 1.3306 Y
-8.2906 3.5150 -1.8622 Y
-5.4333 1.7420 -1.5439 Cd
-6.2254 6.8242 1.0124 Cd
0.0000 0.0000 0.0000 Er
```

* SG: No. 166
* DOS at the Fermi energy: 4.162 states/eV/f.u.
* energy of formation: -253 meV/atom
* E: -26.57 eV per cell



Here is a relaxed structure of YErCdIn from Alexandria via LeMat-Bulk. Energies are from PBE-GGA.

Geometry as POSCAR:
```
YErCdIn
1.0
-2.9347 -4.3650 -0.4965
1.7044 -4.5733 2.0229
-2.3910 -2.0710 4.2315
Cd Er In Y
1 1 1 1
Cartesian
0.0000 0.0000 0.0000 Cd
-0.9053 -2.7523 1.4395 Er
-1.8106 -5.5047 2.8790 In
-2.7160 -8.2570 4.3185 Y
```

* SG: No. 216
* DOS at the Fermi energy: 3.954 states/eV/f.u.
* energy of formation: -417 meV/atom
* E: -16.35 eV per cell



Here is a relaxed structure of ErZrCdIn from Alexandria via LeMat-Bulk. Energies are from PBE-GGA.

Geometry as POSCAR:
```
ErZrCdIn
1.0
-3.3931 -2.3564 -3.0097
-2.9835 -3.6851 1.9087
-5.0010 0.8372 0.6427
Cd In Zr Er
1 1 1 1
Cartesian
-8.5332 -3.9032 -0.3437 Cd
-2.8444 -1.3011 -0.1146 In
0.0000 0.0000 0.0000 Zr
-5.6888 -2.6022 -0.2292 Er
```

* SG: No. 216
* DOS at the Fermi energy: 1.889 states/eV/f.u.
* energy of formation: -244 meV/atom
* E: -17.74 eV per cell



Here is a relaxed structure of Er7Cd2Ir2 from Alexandria via LeMat-Bulk. Energies are from PBE-GGA.

Geometry as POSCAR:
```
Er7Cd2Ir2
1.0
6.6969 -0.0026 -0.7222
0.0031 7.0614 0.0031
-1.1380 -0.0025 6.6389
Er Cd Ir
7 2 2
Cartesian
2.7836 5.3464 2.9590 Er
6.1268 1.7528 2.6005 Er
3.3467 1.7554 -0.3586 Er
0.0000 0.0000 0.0000 Er
2.2153 5.3009 6.2784 Er
2.7784 1.7099 2.9608 Er
-0.5648 5.3035 3.3193 Er
0.9856 3.5298 1.0489 Cd
4.5764 3.5265 4.8709 Cd
4.4571 7.0586 1.3882 Ir
1.1049 -0.0023 4.5316 Ir
```

* SG: No. 65
* DOS at the Fermi energy: 10.037 states/eV/f.u.
* energy of formation: -415 meV/atom
* E: -56.06 eV per cell



Here is a relaxed structure of Er2CdIr from Alexandria via LeMat-Bulk. Energies are from PBE-GGA.

Geometry as POSCAR:
```
Er2CdIr
1.0
-2.7767 2.2415 1.7825
0.0037 0.3976 3.9691
4.7233 8.4860 1.1500
Er Cd Ir
2 1 1
Cartesian
-0.8046 5.2902 5.4842 Er
2.7548 5.8349 1.4174 Er
0.0000 0.0000 0.0000 Cd
0.9751 5.5625 3.4508 Ir
```

* SG: No. 166
* DOS at the Fermi energy: 2.889 states/eV/f.u.
* energy of formation: -311 meV/atom
* E: -20.15 eV per cell



Here is a relaxed structure of Er6CdIr from Alexandria via LeMat-Bulk. Energies are from PBE-GGA.

Geometry as POSCAR:
```
Er6CdIr
1.0
6.8375 0.0113 0.0001
3.4135 5.9405 0.0074
3.4007 1.9739 6.2287
Er Ir Cd
6 1 1
Cartesian
8.1195 6.1495 4.6992 Er
8.0546 1.7352 4.6948 Er
9.3685 3.9347 1.5368 Er
5.5970 6.1905 1.5414 Er
4.2831 3.9910 4.6994 Er
5.5321 1.7762 1.5370 Er
0.0000 0.0000 0.0000 Ir
6.8258 3.9628 3.1181 Cd
```

* SG: No. 2
* DOS at the Fermi energy: 10.429 states/eV/f.u.
* energy of formation: -115 meV/atom
* E: -38.07 eV per cell